Record 1
Crystalline CaTl12Cd6 at its relaxed geometry. Source: the Alexandria database, functional PBE-GGA.

Geometry as POSCAR:
```
CaTl12Cd6
1.0
-7.120 -0.920 4.453
-2.166 -3.317 -7.461
4.892 -6.069 3.255
Cd Tl Ca
6 12 1
Direct
0.282 0.531 0.733
0.733 0.282 0.531
0.469 0.267 0.718
0.718 0.469 0.267
0.267 0.718 0.469
0.531 0.733 0.282
0.668 0.649 0.928
0.332 0.351 0.072
0.351 0.072 0.332
0.669 0.052 0.155
0.845 0.331 0.948
0.649 0.928 0.668
0.072 0.332 0.351
0.948 0.845 0.331
0.331 0.948 0.845
0.155 0.669 0.052
0.928 0.668 0.649
0.052 0.155 0.669
0.000 0.000 0.000
```

Calculated values
V ... 557.2 Å³/f.u.
Symmetry ... R-3 (148)
E_form ... 3 meV per atom
Total moment ... 0.00 μB/f.u.
Crystal system ... trigonal

***

Record 2
Crystalline LiAcHoLu at its relaxed geometry. Source: the Alexandria database, functional PBE-GGA.

Geometry as POSCAR:
```
LiAcHoLu
1.0
5.642 0.000 0.000
2.821 4.886 0.000
2.821 1.629 4.607
Ho Lu Li Ac
1 1 1 1
Direct
0.500 0.500 0.500
0.750 0.750 0.750
0.250 0.250 0.250
0.000 0.000 0.000
```

Calculated values
V ... 127.0 Å³/f.u.
Symmetry ... F-43m (216)
E_form ... 166 meV per atom
Total moment ... 0.00 μB/f.u.
Crystal system ... cubic

***

Which formula does entry 2 have? LiAcHoLu